{
  "formula": "Y2OsPb",
  "functional": "PBE-GGA",
  "state": "relaxed",
  "sg": "C2/m, No. 12",
  "formation_energy_mev_per_atom": -82,
  "lattice": [[-3.6301, 1.6192, 0.3460], [-3.2538, -0.7092, -2.1975], [-3.9319, -6.1418, 5.0407]],
  "species": ["Y", "Y", "Os", "Pb"],
  "fractional_positions": [[0.0023, 0.0023, 0.9431], [0.4977, 0.4977, 0.5569], [0.7500, 0.7500, 0.7500], [0.2500, 0.2500, 0.2500]]
}


{
  "formula": "Ca2TeI2",
  "functional": "PBE-GGA",
  "state": "relaxed",
  "e_form_raw_ev_per_atom": -1.63,
  "sg": "C2/m, No. 12",
  "lattice": [[-2.4786, -0.7320, -3.7223], [3.1440, -3.0123, 1.2572], [-7.9045, -5.4479, 6.3350]],
  "species": ["Ca", "Ca", "I", "I", "Te"],
  "fractional_positions": [[0.1693, 0.3385, 0.6611], [0.8307, 0.6615, 0.3389], [0.8383, 0.6766, 0.8143], [0.1617, 0.3234, 0.1857], [0.5000, 0.0000, 0.5000]]
}


{
  "formula": "AlNO2F",
  "functional": "PBE-GGA",
  "state": "relaxed",
  "e_form_raw_ev_per_atom": -0.44,
  "sg": "P4/mmm, No. 123",
  "lattice": [[3.7491, 0.0000, 0.0000], [0.0000, 3.7491, 0.0000], [0.0000, 0.0000, 3.6183]],
  "species": ["N", "F", "O", "O", "Al"],
  "fractional_positions": [[0.5000, 0.5000, 0.5000], [0.0000, 0.0000, 0.5000], [0.0000, 0.5000, 0.0000], [0.5000, 0.0000, 0.0000], [0.0000, 0.0000, 0.0000]]
}


Number 1: M_tot 0.0 μB/f.u.. Number 2: M_tot 0.0 μB/f.u.. Number 3: M_tot 1.0 μB/f.u..